YPbAu2: relaxed, GGA-PBE.

abc: 4.7541 4.7541 8.0202
angles: 90.00 90.00 90.00
Space group I-4m2 (No. 119)
Unique sites:
Y  0.0000  0.0000  0.0000 x2
Pb  0.0000  0.5000  0.2500 x2
Au  0.0000  0.0000  0.5000 x2
Au  0.0000  0.5000  0.7500 x2

Calculated values
Crystal system: tetragonal
VASP energy (eV/atom): -4.606


Ba3Ti2S7: relaxed, GGA-PBE.

abc: 4.8673 25.6727 4.7253
angles: 90.00 90.00 90.00
Space group Cmmm (No. 65)
Unique sites:
Ba  0.0000  0.0000  0.0000 x2
Ba  0.0000  0.1786  0.0000 x4
Ti  0.0000  0.4005  0.5000 x4
S  0.0000  0.0940  0.5000 x4
S  0.0000  0.3064  0.5000 x4
S  0.0000  0.4040  0.0000 x4
S  0.0000  0.5000  0.5000 x2

Calculated values
Crystal system: orthorhombic
Raw formation energy (eV/atom): -1.6570
VASP energy (eV/atom): -5.861


What is the VASP energy in the first record?
-4.606 eV/atom